VASP calculation (PBE-GGA) on an optimized crystal structure of Zn5AgAu4.

a = 3.237 Å, b = 3.237 Å, c = 15.461 Å
α = 90.00°, β = 90.00°, γ = 90.00°
Fractional positions:
Zn  0.000  0.000  0.000
Zn  0.000  0.000  0.201
Zn  0.000  0.000  0.399
Zn  0.000  0.000  0.601
Zn  0.000  0.000  0.799
Ag  0.500  0.500  0.500
Au  0.500  0.500  0.100
Au  0.500  0.500  0.301
Au  0.500  0.500  0.699
Au  0.500  0.500  0.900

Values from the calculation:
Its space group is No. 123. The calculation puts the energy relative to the elements at -174.3 meV/atom.